{
  "formula": "LaCr2Re",
  "functional": "PBE-GGA",
  "state": "optimized geometry",
  "lattice": [[4.627, -0.013, 0.000], [0.011, 4.627, 0.000], [-2.319, -2.307, 3.273]],
  "species": ["Cr", "Cr", "La", "Re"],
  "fractional_positions": [[0.000, 0.000, 0.000], [0.250, 0.750, 0.500], [0.500, 0.500, 0.000], [0.750, 0.250, 0.500]],
  "de_polymorph_mev_per_atom": 304,
  "space_group": "No. 216"
}